MgCo2SbO6: optimized geometry, PBE with a Hubbard U.

It has space group R3 (No. 146, hexagonal axes), with a = 5.1154 Å, b = 5.1154 Å, c = 14.0532 Å, α = 90.00°, β = 90.00° and γ = 120.00°. Symmetry generates all atoms from Mg at (0.0000, 0.0000, 0.0000), Co at (0.0000, 0.0000, 0.2005), Co at (0.0000, 0.0000, 0.7200), Sb at (0.0000, 0.0000, 0.5144), O at (0.0119, 0.3026, 0.1128) and O at (0.0354, 0.6902, 0.2707).

Its final energy is -182.56 eV per cell. The calculation puts the density at 5.63 g/cm³. The spin magnetization is 0.29 μB/atom. The calculation puts the density of states at the Fermi level at 0.0 states/eV/f.u.